1.
Below is a relaxed structure of CdAu, with properties calculated at the PBE level.

As for the calculated formation energy: 261.6 meV per atom.

Cell lengths 7.810, 7.810, 7.810 Å; angles 90.00, 90.00, 90.00 degrees
Fractional positions:
Cd1 0.000 0.250 0.500
Cd2 0.000 0.750 0.500
Cd3 0.250 0.500 0.000
Cd4 0.500 0.000 0.250
Cd5 0.500 0.000 0.750
Cd6 0.750 0.500 0.000
Au1 0.000 0.500 0.250
Au2 0.000 0.500 0.750
Au3 0.250 0.000 0.500
Au4 0.500 0.250 0.000
Au5 0.500 0.750 0.000
Au6 0.750 0.000 0.500

2.
Below is a relaxed structure of TaMnCdRe2, with properties calculated at the PBE level.

As for the calculated formation energy: 1845.0 meV per atom.

Cell lengths 4.803, 4.803, 4.712 Å; angles 90.00, 90.00, 90.00 degrees
Fractional positions:
Ta1 0.000 0.000 0.000
Mn1 0.000 0.000 0.500
Cd1 0.500 0.500 0.500
Re1 0.000 0.500 0.000
Re2 0.500 0.000 0.000

3.
Below is a relaxed structure of Cd2InHgAs, with properties calculated at the PBE level.

As for the calculated formation energy: 418.9 meV per atom.

Cell lengths 5.729, 5.729, 5.172 Å; angles 90.00, 90.00, 90.00 degrees
Fractional positions:
Cd1 0.000 0.500 0.000
Cd2 0.500 0.000 0.000
In1 0.000 0.000 0.000
Hg1 0.500 0.500 0.500
As1 0.000 0.000 0.500

4.
Below is a relaxed structure of Pr5TmS6, with properties calculated at the PBE level.

The calculation puts the energy relative to the elements, uncorrected at -2.005 eV per atom.

Cell lengths 7.045, 7.045, 7.036 Å; angles 99.66, 99.66, 120.07 degrees
Fractional positions:
Pr1 0.000 0.000 0.000
Pr2 0.168 0.832 0.500
Pr3 0.327 0.673 0.000
Pr4 0.673 0.327 0.000
Pr5 0.832 0.168 0.500
Tm1 0.500 0.500 0.500
S1 0.102 0.420 0.260
S2 0.263 0.263 0.744
S3 0.420 0.102 0.260
S4 0.580 0.898 0.740
S5 0.737 0.737 0.256
S6 0.898 0.580 0.740

5.
Below is a relaxed structure of KCo2Hg2, with properties calculated at the PBE level.

As for the calculated formation energy: 469.5 meV per atom. The value obtained for the energy above the most stable polymorph in this dataset is 0.062 eV/atom.

Cell lengths 5.826, 5.826, 5.826 Å; angles 130.44, 130.44, 72.70 degrees
Fractional positions:
K1 0.000 0.000 0.000
Co1 0.385 0.385 0.000
Co2 0.615 0.615 0.000
Hg1 0.250 0.750 0.500
Hg2 0.750 0.250 0.500

6.
Below is a relaxed structure of La4CdP, with properties calculated at the PBE level.

As for the calculated formation energy: 242.5 meV per atom.

Cell lengths 6.365, 6.365, 6.365 Å; angles 60.00, 60.00, 60.00 degrees
Fractional positions:
La1 0.124 0.124 0.124
La2 0.124 0.124 0.629
La3 0.124 0.629 0.124
La4 0.629 0.124 0.124
Cd1 0.500 0.500 0.500
P1 0.750 0.750 0.750

What did the third record say?
Below is a relaxed structure of Cd2InHgAs, with properties calculated at the PBE level.

As for the calculated formation energy: 418.9 meV per atom.

Cell lengths 5.729, 5.729, 5.172 Å; angles 90.00, 90.00, 90.00 degrees
Fractional positions:
Cd1 0.000 0.500 0.000
Cd2 0.500 0.000 0.000
In1 0.000 0.000 0.000
Hg1 0.500 0.500 0.500
As1 0.000 0.000 0.500